DFT (GGA-PBE) results for crystalline BaPrPa2O8 at its relaxed geometry.

Values from the calculation:
**Space group**: No. 82
**Total magnetization**: 0.84 μB/f.u.
**Final energy**: -8.676 eV/atom
**Fermi-level density of states**: 0.6915 states/eV/atom

Unit cell a=6.8611 b=6.8611 c=6.8611 alpha=131.02 beta=131.02 gamma=71.79
With the nearest neighbours (Å) after each atom.
Fractional coordinates of all 12 atoms:
1 Ba 0.0000 0.0000 0.0000  8 O 2.60-2.63
2 Pr 0.2500 0.7500 0.5000  8 O 2.49-2.50
3 Pa 0.5000 0.5000 0.0000  8 O 2.21-2.47
4 Pa 0.7500 0.2500 0.5000  4 O 2.21
5 O 0.1011 0.1435 0.5246  2 Pa 2.21-2.47
6 O 0.1613 0.6030 0.0016  1 Pa 2.21
7 O 0.3970 0.3986 0.5583  1 Pa 2.21
8 O 0.4235 0.8989 0.0424  2 Pa 2.21-2.47
9 O 0.6014 0.1597 0.9984  1 Pa 2.21
10 O 0.6189 0.5765 0.4754  2 Pa 2.21-2.47
11 O 0.8403 0.8387 0.4417  1 Pa 2.21
12 O 0.8565 0.3811 0.9576  2 Pa 2.21-2.47